*one*
MnCr2Cu | PBE-GGA | optimized geometry

As for the symmetry: Fm-3m, No. 225.

Lattice parameters (Å, degrees): 4.030 4.030 4.030 60.00 60.00 60.00
Element x y z (fractional)
Cu (0.500, 0.500, 0.500)
Cr (0.750, 0.750, 0.750)
Cr (0.250, 0.250, 0.250)
Mn (0.000, 0.000, 0.000)


*two*
MnCr2Cu | PBE-GGA | optimized geometry

As for the symmetry: F-43m, No. 216.

Lattice parameters (Å, degrees): 4.145 4.145 4.145 60.00 60.00 60.00
Element x y z (fractional)
Cu (0.500, 0.500, 0.500)
Mn (0.750, 0.750, 0.750)
Cr (0.000, 0.000, 0.000)
Cr (0.250, 0.250, 0.250)


*three*
MnCr2Cu | PBE-GGA | optimized geometry

As for the symmetry: Cmmm, No. 65.

Lattice parameters (Å, degrees): 4.541 4.541 2.453 90.00 90.00 113.36
Element x y z (fractional)
Cr (0.000, 0.000, 0.000)
Cr (0.500, 0.500, 0.000)
Mn (0.000, 0.500, 0.500)
Cu (0.500, 0.000, 0.500)


*four*
MnCr2Cu | PBE-GGA | optimized geometry

As for the symmetry: R-3m, No. 166.

Lattice parameters (Å, degrees): 8.622 8.622 8.622 16.73 16.73 16.73
Element x y z (fractional)
Mn (0.750, 0.750, 0.750)
Cr (0.497, 0.497, 0.497)
Cr (0.003, 0.003, 0.003)
Cu (0.250, 0.250, 0.250)


It is *two* that is the most stable of them.


*one*
MnCr2Cu | PBE-GGA | optimized geometry

As for the symmetry: P4mm, No. 99.

Lattice parameters (Å, degrees): 2.965 2.966 5.704 90.00 90.00 90.00
Element x y z (fractional)
Cr (0.500, 0.500, 0.239)
Cr (0.000, 0.000, 0.004)
Mn (0.500, 0.500, 0.755)
Cu (0.000, 0.000, 0.502)


*two*
MnCr2Cu | PBE-GGA | optimized geometry

As for the symmetry: P2/m, No. 10.

Lattice parameters (Å, degrees): 3.930 2.409 5.034 74.45 90.00 90.00
Element x y z (fractional)
Mn (0.500, 0.750, 0.750)
Cr (0.000, 0.973, 0.990)
Cr (0.000, 0.527, 0.510)
Cu (0.500, 0.250, 0.250)


*three*
MnCr2Cu | PBE-GGA | optimized geometry

As for the symmetry: Cmm2, No. 35.

Lattice parameters (Å, degrees): 2.426 2.426 8.197 90.00 90.00 107.68
Element x y z (fractional)
Cr (0.500, 0.500, 0.242)
Cr (0.000, 0.000, 0.997)
Cu (0.000, 0.000, 0.502)
Mn (0.500, 0.500, 0.759)


*four*
MnCr2Cu | PBE-GGA | optimized geometry

As for the symmetry: Cm, No. 8.

Lattice parameters (Å, degrees): 4.368 4.368 4.600 84.04 84.04 32.43
Element x y z (fractional)
Cr (0.002, 0.002, 0.996)
Cr (0.246, 0.246, 0.256)
Mn (0.753, 0.753, 0.749)
Cu (0.499, 0.499, 0.499)


It is *three* that is the most stable of them.


*one*
MnCrCuN2 | PBE-GGA | optimized geometry

As for the symmetry: P4/mmm, No. 123.

Lattice parameters (Å, degrees): 3.651 4.998 3.651 90.00 90.00 90.00
Element x y z (fractional)
Cu (0.500, 0.500, 0.500)
Cr (0.000, 0.000, 0.000)
Mn (0.000, 0.500, 0.000)
N (0.000, 0.000, 0.500)
N (0.500, 0.000, 0.000)


*two*
MnCrCuN2 | PBE-GGA | optimized geometry

As for the symmetry: P4/mmm, No. 123.

Lattice parameters (Å, degrees): 3.589 5.004 3.589 90.00 90.00 90.00
Element x y z (fractional)
N (0.500, 0.000, 0.000)
N (0.000, 0.000, 0.500)
Cr (0.000, 0.500, 0.000)
Cu (0.500, 0.500, 0.500)
Mn (0.000, 0.000, 0.000)


*three*
MnCrCuN2 | PBE-GGA | optimized geometry

As for the symmetry: P4/mmm, No. 123.

Lattice parameters (Å, degrees): 3.585 4.568 3.585 90.00 90.00 90.00
Element x y z (fractional)
N (0.000, 0.000, 0.500)
N (0.500, 0.000, 0.000)
Mn (0.000, 0.000, 0.000)
Cu (0.000, 0.500, 0.000)
Cr (0.500, 0.500, 0.500)


It is *one* that is the most stable of them.